1.
IrAuSe2 | PBE | relaxed

As for the symmetry: No. 6. The value obtained for the size of the total moment is 0.000 Bohr magnetons per cell. Its raw formation energy is 0.142 eV per atom.

a b c (Å): 4.8876 3.8132 4.9015
angles (deg): 90.00 116.53 90.00
Fractional positions:
Ir  0.0000  0.0000  0.0000
Au  0.7658  0.5000  0.2351
Se  0.1835  0.5000  0.8171
Se  0.5459  0.0000  0.4539

***

2.
LiTl3Os2O8 | PBE | relaxed

As for the symmetry: No. 164. The value obtained for the size of the total moment is 4.011 Bohr magnetons per cell. Its raw formation energy is -0.926 eV per atom.

a b c (Å): 6.0720 6.0720 7.8654
angles (deg): 90.00 90.00 120.00
Fractional positions:
Li  0.0000  0.0000  0.0000
Tl  0.0000  0.0000  0.5000
Tl  0.3333  0.6667  0.1628
Tl  0.6667  0.3333  0.8372
Os  0.3333  0.6667  0.7255
Os  0.6667  0.3333  0.2745
O  0.1719  0.3438  0.8114
O  0.1719  0.8281  0.8114
O  0.3333  0.6667  0.4976
O  0.3438  0.1719  0.1887
O  0.6562  0.8281  0.8114
O  0.6667  0.3333  0.5024
O  0.8281  0.1719  0.1887
O  0.8281  0.6562  0.1887

***

3.
BaBOs3 | PBE | relaxed

As for the symmetry: No. 221. The value obtained for the size of the total moment is 4.926 Bohr magnetons per cell. Its energy relative to the lowest polymorph listed for this composition is 3670.9 meV/atom.

a b c (Å): 5.1327 5.1327 5.1327
angles (deg): 90.00 90.00 90.00
Fractional positions:
Ba  0.0000  0.0000  0.0000
B  0.5000  0.5000  0.5000
Os  0.0000  0.0000  0.5000
Os  0.0000  0.5000  0.0000
Os  0.5000  0.0000  0.0000

***

4.
CeUAs2 | PBE | relaxed

As for the symmetry: No. 166. The value obtained for the size of the total moment is 3.528 Bohr magnetons per cell. Its energy relative to the lowest polymorph listed for this composition is 977.3 meV/atom.

a b c (Å): 8.9769 8.9769 8.9769
angles (deg): 26.83 26.83 26.83
Fractional positions:
Ce  0.0000  0.0000  0.0000
U  0.5000  0.5000  0.5000
As  0.3949  0.3949  0.3949
As  0.6051  0.6051  0.6051

***

5.
Cr2Pb | PBE | relaxed

As for the symmetry: No. 12. The value obtained for the size of the total moment is 0.498 Bohr magnetons per cell. Its energy relative to the lowest polymorph listed for this composition is 163.8 meV/atom.

a b c (Å): 5.7168 5.7168 7.3330
angles (deg): 119.54 119.54 31.90
Fractional positions:
Cr  0.1596  0.1596  0.2128
Cr  0.1611  0.1611  0.5459
Cr  0.8388  0.8388  0.4541
Cr  0.8404  0.8404  0.7872
Pb  0.4212  0.4212  0.1895
Pb  0.5788  0.5788  0.8105

***

6.
PrBe2Au5 | PBE | relaxed

As for the symmetry: No. 71. The value obtained for the size of the total moment is 0.000 Bohr magnetons per cell. For the calculated total energy, the calculation gives -3.9367 eV per atom.

a b c (Å): 6.3823 6.3823 6.3823
angles (deg): 141.80 113.48 79.39
Fractional positions:
Pr  0.0000  0.0000  0.0000
Be  0.2585  0.7585  0.5000
Be  0.7415  0.2415  0.5000
Au  0.1416  0.3486  0.7930
Au  0.4444  0.6514  0.7930
Au  0.5000  0.0000  0.5000
Au  0.5556  0.3486  0.2070
Au  0.8584  0.6514  0.2070

***

7.
ZrMnHIr2 | PBE | relaxed

As for the symmetry: No. 123. The value obtained for the size of the total moment is 2.852 Bohr magnetons per cell. For the calculated total energy, the calculation gives -8.1469 eV per atom.

a b c (Å): 4.0611 4.0611 3.9232
angles (deg): 90.00 90.00 90.00
Fractional positions:
Zr  0.0000  0.0000  0.0000
Mn  0.5000  0.5000  0.0000
H  0.5000  0.5000  0.5000
Ir  0.0000  0.5000  0.5000
Ir  0.5000  0.0000  0.5000

***

8.
LiSc2RhC | PBE | relaxed

As for the symmetry: No. 123. The value obtained for the size of the total moment is 0.000 Bohr magnetons per cell. For the calculated total energy, the calculation gives -6.6106 eV per atom.

a b c (Å): 4.5839 4.5839 3.9278
angles (deg): 90.00 90.00 90.00
Fractional positions:
Li  0.0000  0.0000  0.0000
Sc  0.0000  0.5000  0.5000
Sc  0.5000  0.0000  0.5000
Rh  0.5000  0.5000  0.0000
C  0.5000  0.5000  0.5000

***

9.
Cd3ClF5 | PBE | relaxed

As for the symmetry: No. 10. The value obtained for the size of the total moment is 0.000 Bohr magnetons per cell. Its energy relative to the lowest polymorph listed for this composition is 0.0 meV/atom. Its raw formation energy is -1.993 eV per atom.

a b c (Å): 5.4032 3.6329 15.9441
angles (deg): 90.00 94.25 90.00
Fractional positions:
Cd  0.0000  0.0000  0.0000
Cd  0.0341  0.0000  0.6555
Cd  0.4641  0.5000  0.8446
Cd  0.5000  0.5000  0.5000
Cd  0.5359  0.5000  0.1554
Cd  0.9659  0.0000  0.3445
Cl  0.2720  0.0000  0.2247
Cl  0.7280  0.0000  0.7753
F  0.1572  0.5000  0.4101
F  0.2128  0.5000  0.7231
F  0.2268  0.5000  0.0481
F  0.2747  0.0000  0.8968
F  0.3340  0.0000  0.5644
F  0.6660  0.0000  0.4356
F  0.7253  0.0000  0.1032
F  0.7732  0.5000  0.9519
F  0.7872  0.5000  0.2769
F  0.8428  0.5000  0.5899

***

10.
SmYRh2 | PBE | relaxed

As for the symmetry: No. 139. The value obtained for the size of the total moment is 0.000 Bohr magnetons per cell. For the calculated total energy, the calculation gives -7.2519 eV per atom.

a b c (Å): 4.9076 4.9076 4.9076
angles (deg): 120.12 120.12 89.80
Fractional positions:
Sm  0.0000  0.0000  0.0000
Y  0.5000  0.5000  0.0000
Rh  0.2500  0.7500  0.5000
Rh  0.7500  0.2500  0.5000

***

11.
BeAlSe | PBE | relaxed

As for the symmetry: No. 1. The value obtained for the size of the total moment is 0.000 Bohr magnetons per cell. Its energy relative to the lowest polymorph listed for this composition is 8.8 meV/atom. Its raw formation energy is -0.188 eV per atom.

a b c (Å): 4.2416 5.4878 5.5751
angles (deg): 118.94 91.25 108.11
Fractional positions:
Be  0.0000  0.0000  0.0000
Be  0.0233  0.1900  0.7171
Al  0.4465  0.2106  0.4325
Al  0.5563  0.2466  0.9633
Se  0.0509  0.5761  0.6484
Se  0.7351  0.8298  0.2617

***

12.
Pu4Pt2C | PBE | relaxed

As for the symmetry: No. 139. The value obtained for the size of the total moment is 21.181 Bohr magnetons per cell. For the calculated total energy, the calculation gives -11.5683 eV per atom.

a b c (Å): 8.0823 8.0823 8.0823
angles (deg): 146.68 146.68 47.83
Fractional positions:
Pu  0.0000  0.5000  0.5000
Pu  0.1750  0.1750  0.0000
Pu  0.5000  0.0000  0.5000
Pu  0.8250  0.8250  0.0000
Pt  0.3655  0.3655  0.0000
Pt  0.6345  0.6345  0.0000
C  0.0000  0.0000  0.0000